A plane-wave DFT calculation with PBE was carried out for MgPS2N after structural relaxation.

Cell lengths 4.7155, 4.7155, 3.3017 Å; angles 90.00, 90.00, 90.00 degrees
With the nearest neighbours (Å) after each atom.
Sites, in units of the cell vectors:
Mg  0.0000  0.0000  0.0000  8 S 2.88
P  0.5000  0.5000  0.5000  2 N 1.65
S  0.0000  0.5000  0.5000  2 P 2.36
S  0.5000  0.0000  0.5000  2 P 2.36
N  0.5000  0.5000  0.0000  2 P 1.65

Output
space group = P4/mmm, No. 123
crystal system = tetragonal
Fermi-level density of states = 1.36 states/eV/cell
E_tot = -23.248 eV per cell
total magnetic moment = 0.000 μB per formula unit